Mn2CdO3 PBE+U optimized geometry; energy above the lowest structure with this stoichiometry = 12 meV per atom; space-group type = No. 139; density of states at the Fermi level = 0.840 states/eV per cell
1.0
3.184 0.000 -0.726
-0.165 3.180 -0.726
-0.015 -0.015 7.285
Mn Cd O
2 1 3
Cartesian
0.305 0.326 1.381
2.305 2.432 2.805
1.297 1.374 5.735
2.807 2.963 5.009
0.783 0.829 3.474
1.828 1.930 0.712